First-principles (PBE) data for a geometry-optimized Na2Cd3Si3O10 structure, as listed in OQMD.

a b c (Å): 5.1042 8.5707 10.9333
angles (deg): 93.09 90.00 107.32
With the nearest neighbours (Å) after each atom.
Element x y z (fractional)
Cd 0.0000 0.5000 0.0000  6 O 2.24-2.38
Cd 0.3728 0.3115 0.2082  5 O 2.22-2.34
Cd 0.0613 0.6885 0.2918  5 O 2.22-2.34
Cd 0.5000 0.5000 0.5000  6 O 2.24-2.38
Cd 0.9387 0.3115 0.7082  5 O 2.22-2.34
Cd 0.6272 0.6885 0.7918  5 O 2.22-2.34
Na 0.1981 0.9139 0.0329  5 O 2.29-2.42
Na 0.2842 0.0861 0.4671  5 O 2.29-2.42
Na 0.7158 0.9139 0.5329  5 O 2.29-2.42
Na 0.8019 0.0861 0.9671  5 O 2.29-2.42
O 0.5908 0.2896 0.0356  1 Si 1.63
O 0.8521 0.6909 0.1016  1 Si 1.62
O 0.0254 0.0924 0.1498  1 Si 1.62
O 0.3125 0.5555 0.1698  1 Si 1.65
O 0.5356 0.8757 0.1740  2 Si 1.67-1.68
O 0.6599 0.1243 0.3260  2 Si 1.67-1.68
O 0.7570 0.4445 0.3302  1 Si 1.65
O 0.9330 0.9076 0.3502  1 Si 1.62
O 0.1613 0.3091 0.3984  1 Si 1.62
O 0.3011 0.7104 0.4644  1 Si 1.63
O 0.6989 0.2896 0.5356  1 Si 1.63
O 0.8387 0.6909 0.6016  1 Si 1.62
O 0.0670 0.0924 0.6498  1 Si 1.62
O 0.2430 0.5555 0.6698  1 Si 1.65
O 0.3401 0.8757 0.6740  2 Si 1.67-1.68
O 0.4644 0.1243 0.8260  2 Si 1.67-1.68
O 0.6875 0.4445 0.8302  1 Si 1.65
O 0.9746 0.9075 0.8502  1 Si 1.62
O 0.1479 0.3091 0.8984  1 Si 1.62
O 0.4092 0.7104 0.9644  1 Si 1.63
Si 0.5392 0.6997 0.0993  4 O 1.62-1.68
Si 0.8095 0.0000 0.2500  4 O 1.62-1.67
Si 0.8395 0.3003 0.4007  4 O 1.62-1.68
Si 0.1605 0.6997 0.5993  4 O 1.62-1.68
Si 0.1905 0.0000 0.7500  4 O 1.62-1.67
Si 0.4608 0.3003 0.9007  4 O 1.62-1.68

Computed properties:
Space-group type: C2/c
Electronic total energy: -217.78 eV/cell